Entry 1:
Computed, not measured: a geometry-optimized AlSn2Ge2 structure at the PBE level of DFT.

The calculation puts the formation energy at 0.31 eV per atom. The total magnetization is 0.00 μB/cell. The value obtained for the energy above the most stable polymorph in this dataset is 0.139 eV per atom.

The space group is P4/mbm (No. 127) and the conventional cell measures 7.8905, 7.8905 and 3.8260 Å, with angles of 90.00, 90.00 and 90.00 degrees. The asymmetric unit holds Al at (0.0000, 0.0000, 0.0000), Sn at (0.1616, 0.3384, 0.0000) and Ge at (0.1289, 0.6289, 0.5000).

***

Entry 2:
Computed, not measured: a geometry-optimized AlSn2Ge structure at the PBE level of DFT.

The calculation puts the formation energy at 0.27 eV per atom. The total magnetization is 0.00 μB/cell. The value obtained for the energy above the most stable polymorph in this dataset is 0.110 eV per atom.

The space group is R-3m (No. 166, hexagonal axes) and the conventional cell measures 3.2011, 3.2011 and 32.6767 Å, with angles of 90.00, 90.00 and 120.00 degrees. The asymmetric unit holds Al at (0.0000, 0.0000, 0.0000), Sn at (0.0000, 0.0000, 0.0888) and Ge at (0.0000, 0.0000, 0.5000).